(1)
Dy3Mg2Zr | PBE-GGA | relaxed

a = 3.449 Å, b = 3.449 Å, c = 13.761 Å
α = 90.00°, β = 90.00°, γ = 90.00°
Fractional positions:
Dy  0.000  0.000  0.000
Dy  0.000  0.000  0.336
Dy  0.000  0.000  0.664
Mg  0.500  0.500  0.165
Mg  0.500  0.500  0.835
Zr  0.500  0.500  0.500

Computed properties:
- DFT total energy: -25.7 eV for the cell shown
- Space-group type: P4/mmm, No. 123
- DOS at the Fermi energy: 7.79 states/eV/cell
- ΔH_f (0 K): -18 meV/atom
- Density: 6.36 g/cm³


(2)
Dy6Mn23 | PBE-GGA | relaxed

a = 8.494 Å, b = 8.494 Å, c = 8.494 Å
α = 60.00°, β = 60.00°, γ = 60.00°
Fractional positions:
Dy  0.205  0.205  0.795
Dy  0.205  0.795  0.205
Dy  0.205  0.795  0.795
Dy  0.795  0.205  0.205
Dy  0.795  0.205  0.795
Dy  0.795  0.795  0.205
Mn  0.000  0.000  0.500
Mn  0.000  0.500  0.000
Mn  0.000  0.500  0.500
Mn  0.134  0.622  0.622
Mn  0.177  0.177  0.177
Mn  0.177  0.177  0.468
Mn  0.177  0.468  0.177
Mn  0.378  0.378  0.378
Mn  0.378  0.378  0.866
Mn  0.378  0.866  0.378
Mn  0.468  0.177  0.177
Mn  0.500  0.000  0.000
Mn  0.500  0.000  0.500
Mn  0.500  0.500  0.000
Mn  0.500  0.500  0.500
Mn  0.532  0.823  0.823
Mn  0.622  0.134  0.622
Mn  0.622  0.622  0.134
Mn  0.622  0.622  0.622
Mn  0.823  0.532  0.823
Mn  0.823  0.823  0.532
Mn  0.823  0.823  0.823
Mn  0.866  0.378  0.378

Computed properties:
- DFT total energy: -237.6 eV for the cell shown
- Space-group type: Fm-3m, No. 225
- DOS at the Fermi energy: 33.76 states/eV/cell
- ΔH_f (0 K): 33 meV/atom
- Density: 8.58 g/cm³


Question: Which value of density does entry 1 give?
Answer: 6.36 g/cm³


Question: Which of these has the lowest DFT total energy?
Answer: Dy6Mn23


Question: The lowest DOS at the Fermi energy belongs to which entry?
Answer: Dy3Mg2Zr